(1)
A plane-wave DFT calculation with GGA-PBE was carried out for crystalline La2TbPmP4 at its relaxed geometry.

Values from the calculation:
The space-group type is P2/m. For the spin magnetization, the calculation gives 0.00 μB per cell. As for the crystal system: monoclinic. The value obtained for the formation energy is -1573 meV/atom. As for the total energy: -6.6820 eV/atom.

abc: 4.1798 7.2336 7.2371
angles: 109.44 90.00 90.00
With the nearest neighbours (Å) after each atom.
Atoms (fractional coordinates):
Tb 0.0000 0.0000 0.0000  6 P 2.90-2.91
P 0.0000 0.7499 0.2416  1 Tb 2.90, 2 Pm 2.93, 3 La 2.98-3.00
P 0.0000 0.2501 0.7584  1 Tb 2.90, 2 Pm 2.93, 3 La 2.98-3.00
P 0.5000 0.7563 0.7605  2 Tb 2.91, 1 Pm 2.93, 3 La 2.98-3.01
P 0.5000 0.2437 0.2395  2 Tb 2.91, 1 Pm 2.93, 3 La 2.98-3.01
La 0.5000 0.0000 0.5000  6 P 2.98
La 0.0000 0.5000 0.5000  6 P 3.00-3.01
Pm 0.5000 0.5000 0.0000  6 P 2.93


(2)
A plane-wave DFT calculation with GGA-PBE was carried out for crystalline Na3TlBi2O6 at its relaxed geometry.

Values from the calculation:
The space-group type is C2/m. For the spin magnetization, the calculation gives 0.00 μB per cell. As for the crystal system: monoclinic. The formation energy (no corrections) is -1.233 eV/atom. As for the total energy: -4.8864 eV/atom.

abc: 6.0683 6.0683 6.0247
angles: 99.60 99.60 120.04
With the nearest neighbours (Å) after each atom.
Atoms (fractional coordinates):
Na 0.8387 0.1613 0.5000  6 O 2.50-2.62
Na 0.1613 0.8387 0.5000  6 O 2.50-2.62
Na 0.5000 0.5000 0.5000  6 O 2.52-2.59
O 0.9240 0.5990 0.7714  1 Tl 2.36, 2 Bi 2.42, 3 Na 2.52-2.62
O 0.4010 0.0760 0.2286  1 Tl 2.36, 2 Bi 2.42, 3 Na 2.52-2.62
O 0.7501 0.7501 0.2261  1 Tl 2.35, 2 Bi 2.42, 3 Na 2.50-2.59
O 0.2499 0.2499 0.7739  1 Tl 2.35, 2 Bi 2.42, 3 Na 2.50-2.59
O 0.0760 0.4010 0.2286  1 Tl 2.36, 2 Bi 2.42, 3 Na 2.52-2.62
O 0.5990 0.9240 0.7714  1 Tl 2.36, 2 Bi 2.42, 3 Na 2.52-2.62
Bi 0.3329 0.6671 0.0000  6 O 2.42
Bi 0.6671 0.3329 0.0000  6 O 2.42
Tl 0.0000 0.0000 0.0000  6 O 2.35-2.36


(3)
A plane-wave DFT calculation with GGA-PBE was carried out for crystalline EuHAu2 at its relaxed geometry.

Values from the calculation:
The space-group type is R-3m. For the spin magnetization, the calculation gives 7.70 μB per cell. As for the crystal system: trigonal. As for the total energy: -4.6531 eV/atom.

abc: 3.0967 3.0967 8.8159
angles: 79.88 79.88 60.00
With the nearest neighbours (Å) after each atom.
Atoms (fractional coordinates):
Eu 0.0000 0.0000 0.0000  2 Au 2.98, 6 Eu 3.10
Au 0.8848 0.8848 0.3455  3 H 2.23
Au 0.1152 0.1152 0.6545  3 H 2.23
H 0.5000 0.5000 0.5000  6 Au 2.23


(4)
A plane-wave DFT calculation with GGA-PBE was carried out for crystalline Nb2CuGe at its relaxed geometry.

Values from the calculation:
The space-group type is P2_1/m. For the spin magnetization, the calculation gives 0.00 μB per cell. As for the crystal system: monoclinic. The value obtained for the formation energy is -246 meV/atom. As for the total energy: -7.4589 eV/atom.

abc: 3.7069 5.2644 7.0034
angles: 109.30 90.00 90.00
With the nearest neighbours (Å) after each atom.
Atoms (fractional coordinates):
Cu 0.7500 0.6531 0.2885  2 Ge 2.36, 1 Nb 2.64
Cu 0.2500 0.3469 0.7115  2 Ge 2.36, 1 Nb 2.64
Ge 0.7500 0.6419 0.7860  2 Cu 2.36
Ge 0.2500 0.3581 0.2140  2 Cu 2.36
Nb 0.7500 0.1812 0.9194  3 Cu 2.67-2.93, 4 Ge 2.68-2.87
Nb 0.7500 0.1842 0.4213  4 Cu 2.64-2.91, 3 Ge 2.69-2.87
Nb 0.2500 0.8188 0.0806  3 Cu 2.67-2.93, 4 Ge 2.68-2.87
Nb 0.2500 0.8158 0.5787  4 Cu 2.64-2.91, 3 Ge 2.69-2.87


(5)
A plane-wave DFT calculation with GGA-PBE was carried out for crystalline Hf2BeTlSi at its relaxed geometry.

Values from the calculation:
The space-group type is P4/mmm. For the spin magnetization, the calculation gives 0.00 μB per cell. As for the crystal system: tetragonal. The formation energy (no corrections) is 0.303 eV/atom. As for the total energy: -5.9812 eV/atom.

abc: 5.0215 4.0994 5.0215
angles: 90.00 90.00 90.00
With the nearest neighbours (Å) after each atom.
Atoms (fractional coordinates):
Hf 0.0000 0.0000 0.5000  2 Si 2.51
Hf 0.5000 0.0000 0.0000  2 Si 2.51
Tl 0.5000 0.5000 0.5000  8 Hf 3.24, 4 Be 3.55
Be 0.0000 0.5000 0.0000  2 Si 2.05
Si 0.0000 0.0000 0.0000  2 Be 2.05


(6)
A plane-wave DFT calculation with GGA-PBE was carried out for crystalline Er4AlZn3 at its relaxed geometry.

Values from the calculation:
The space-group type is Pmm2. For the spin magnetization, the calculation gives 0.00 μB per cell. As for the crystal system: orthorhombic. The value obtained for the formation energy is -323 meV/atom. The relative energy among the computed polymorphs comes out at 39.8 meV/atom. As for the total energy: -3.5499 eV/atom.

abc: 3.6393 4.4678 11.3088
angles: 90.00 90.00 90.00
With the nearest neighbours (Å) after each atom.
Atoms (fractional coordinates):
Er 0.5000 0.0000 0.6509  7 Zn 3.02-3.17
Er 0.0000 0.0000 0.1575  4 Al 3.06, 3 Zn 3.09-3.14
Er 0.0000 0.5000 0.8416  5 Zn 3.05-3.07, 2 Al 3.14
Er 0.5000 0.5000 0.3513  6 Zn 3.02-3.07, 1 Al 3.21
Zn 0.5000 0.0000 0.9308  2 Al 2.72
Zn 0.0000 0.5000 0.5698  2 Zn 2.73, 4 Er 3.02
Zn 0.0000 0.0000 0.4308  2 Zn 2.73, 4 Er 3.02
Al 0.5000 0.5000 0.0673  2 Zn 2.72


(7)
A plane-wave DFT calculation with GGA-PBE was carried out for crystalline Rb2HoBSe4 at its relaxed geometry.

Values from the calculation:
The space-group type is Fddd. For the spin magnetization, the calculation gives 0.00 μB per cell. As for the crystal system: orthorhombic. The formation energy (no corrections) is -0.996 eV/atom. As for the total energy: -4.3874 eV/atom.

abc: 6.0023 7.9468 13.0704
angles: 85.03 76.73 67.81
With the nearest neighbours (Å) after each atom.
Atoms (fractional coordinates):
Se 0.2079 0.3215 0.3982  1 B 2.14
Se 0.2794 0.1785 0.8982  1 B 2.14
Se 0.5421 0.1785 0.1018  1 B 2.14
Se 0.4706 0.3215 0.6018  1 B 2.14
Se 0.3561 0.8215 0.1018  1 B 2.14
Se 0.8224 0.8215 0.8982  1 B 2.14
Se 0.9276 0.6785 0.6018  1 B 2.14
Se 0.3939 0.6785 0.3982  1 B 2.14
B 0.2500 0.5000 0.5000  4 Se 2.14
B 0.5000 0.0000 0.0000  4 Se 2.14
Rb 0.1802 0.0000 0.6395  4 Se 3.54-3.90
Rb 0.5698 0.5000 0.8605  4 Se 3.54-3.90
Rb 0.9302 0.5000 0.1395  4 Se 3.54-3.90
Rb 0.8198 0.0000 0.3605  4 Se 3.54-3.90
Ho 0.0000 0.0000 0.0000  4 Se 2.65
Ho 0.7500 0.5000 0.5000  4 Se 2.65


(8)
A plane-wave DFT calculation with GGA-PBE was carried out for crystalline CrHPd3 at its relaxed geometry.

Values from the calculation:
The space-group type is Pm-3m. For the spin magnetization, the calculation gives 3.24 μB per cell. As for the crystal system: cubic. The relative energy among the computed polymorphs comes out at 1436.3 meV/atom. As for the total energy: -4.3640 eV/atom.

abc: 4.6292 4.6292 4.6292
angles: 90.00 90.00 90.00
With the nearest neighbours (Å) after each atom.
Atoms (fractional coordinates):
Pd 0.5000 0.0000 0.0000  2 Cr 2.31
Pd 0.0000 0.5000 0.0000  2 Cr 2.31
Pd 0.0000 0.0000 0.5000  2 Cr 2.31
Cr 0.0000 0.0000 0.0000  6 Pd 2.31
H 0.5000 0.5000 0.5000  12 Pd 3.27


(9)
A plane-wave DFT calculation with GGA-PBE was carried out for crystalline NdPu2Ga at its relaxed geometry.

Values from the calculation:
The space-group type is P4/mmm. For the spin magnetization, the calculation gives 11.89 μB per cell. As for the crystal system: tetragonal. The value obtained for the formation energy is -132 meV/atom. The relative energy among the computed polymorphs comes out at 0.0 meV/atom. As for the total energy: -9.2467 eV/atom.

abc: 5.0765 4.4792 4.4792
angles: 90.00 90.00 90.00
With the nearest neighbours (Å) after each atom.
Atoms (fractional coordinates):
Pu 0.0000 0.0000 0.5000  4 Pu 3.17, 4 Nd 3.39, 4 Ga 3.39
Pu 0.0000 0.5000 0.0000  4 Pu 3.17, 4 Nd 3.39, 4 Ga 3.39
Nd 0.5000 0.5000 0.5000  4 Ga 3.17, 8 Pu 3.39
Ga 0.5000 0.0000 0.0000  4 Nd 3.17, 8 Pu 3.39


(10)
A plane-wave DFT calculation with GGA-PBE was carried out for crystalline ErIrRh2C at its relaxed geometry.

Values from the calculation:
The space-group type is P4/mmm. For the spin magnetization, the calculation gives 0.00 μB per cell. As for the crystal system: tetragonal. The value obtained for the formation energy is -464 meV/atom. As for the total energy: -7.9338 eV/atom.

abc: 4.0930 4.2269 4.2269
angles: 90.00 90.00 90.00
With the nearest neighbours (Å) after each atom.
Atoms (fractional coordinates):
Rh 0.0000 0.5000 0.0000  2 C 2.11
Rh 0.0000 0.0000 0.5000  2 C 2.11
Er 0.5000 0.5000 0.5000  8 Rh 2.94, 4 Ir 2.99
C 0.0000 0.0000 0.0000  2 Ir 2.05, 4 Rh 2.11
Ir 0.5000 0.0000 0.0000  2 C 2.05